1.
First-principles (GGA-PBE) data for crystalline Tl2Co9 at its relaxed geometry, as listed in OQMD.

The raw total energy is -0.2079 Ha/atom.

The space group is P-3m1 (No. 164) and the conventional cell measures 2.7310, 2.7310 and 32.9897 Å, with angles of 90.00, 90.00 and 120.00 degrees. Symmetry generates all atoms from Tl at (0.3333, 0.6667, 0.3039), Co at (0.0000, 0.0000, 0.0000), Co at (0.0000, 0.0000, 0.1721), Co at (0.3333, 0.6667, 0.1141), Co at (0.3333, 0.6667, 0.7721) and Co at (0.3333, 0.6667, 0.9429).

=====

2.
First-principles (GGA-PBE) data for crystalline Y2GeIr at its relaxed geometry, as listed in OQMD.

The raw total energy is -0.2549 Ha/atom.

The space group is F-43m (No. 216) and the conventional cell measures 6.852, 6.852 and 6.852 Å, with angles of 90.00, 90.00 and 90.00 degrees. Symmetry generates all atoms from Y at (0.000, 0.000, 0.000), Y at (0.250, 0.250, 0.250), Ge at (0.000, 0.000, 0.500) and Ir at (0.250, 0.250, 0.750).

=====

3.
First-principles (GGA-PBE) data for crystalline RbPaAsO at its relaxed geometry, as listed in OQMD.

As for the energy above the most stable polymorph in this dataset: 145 meV/atom.

The space group is P4/nmm (No. 129, origin choice 2) and the conventional cell measures 4.177, 4.177 and 10.458 Å, with angles of 90.00, 90.00 and 90.00 degrees. Symmetry generates all atoms from Rb at (0.250, 0.750, 0.000), Pa at (0.250, 0.250, 0.383), As at (0.250, 0.250, 0.753) and O at (0.250, 0.750, 0.500).

=====

4.
First-principles (GGA-PBE) data for crystalline Nd3Ni8Pt at its relaxed geometry, as listed in OQMD.

As for the energy of formation from the pure elements: -5.00 eV/f.u.

The space group is R-3m (No. 166, hexagonal axes) and the conventional cell measures 5.0557, 5.0557 and 25.1024 Å, with angles of 90.00, 90.00 and 120.00 degrees. Symmetry generates all atoms from Nd at (0.0000, 0.0000, 0.0000), Nd at (0.0000, 0.0000, 0.1370), Ni at (0.0000, 0.0000, 0.3331), Ni at (0.0025, 0.5013, 0.9213) and Pt at (0.0000, 0.0000, 0.5000).

=====

5.
First-principles (GGA-PBE) data for crystalline SmSnSe2 at its relaxed geometry, as listed in OQMD.

The raw total energy is -0.1837 Ha/atom.

The space group is P4/mmm (No. 123) and the conventional cell measures 4.227, 4.227 and 6.015 Å, with angles of 90.00, 90.00 and 90.00 degrees. Symmetry generates all atoms from Sm at (0.000, 0.000, 0.000), Sn at (0.500, 0.500, 0.500), Se at (0.000, 0.000, 0.500) and Se at (0.500, 0.500, 0.000).

=====

6.
First-principles (GGA-PBE) data for crystalline DyErTm2 at its relaxed geometry, as listed in OQMD.

As for the energy of formation from the pure elements: 0.01 eV/f.u.

The space group is Ama2 (No. 40) and the conventional cell measures 5.551, 12.351 and 7.131 Å, with angles of 90.00, 90.00 and 90.00 degrees. Symmetry generates all atoms from Dy at (0.250, 0.167, 0.000), Er at (0.250, 0.417, 0.249), Tm at (0.250, 0.166, 0.500) and Tm at (0.250, 0.417, 0.751).